No. 1
# Ac8PrNd2 | Alexandria via LeMat-Bulk | PBE | relaxed
data_Ac8PrNd2
_chemical_formula_sum 'Ac8 Pr1 Nd2'
_cell_length_a 10.306
_cell_length_b 10.306
_cell_length_c 8.750
_cell_angle_alpha 104.93
_cell_angle_beta 104.93
_cell_angle_gamma 31.38
_space_group_name_H-M_alt 'P 1'
_space_group_IT_number 1
loop_
_space_group_symop_operation_xyz
'x,y,z'
loop_
_atom_site_label
_atom_site_type_symbol
_atom_site_fract_x
_atom_site_fract_y
_atom_site_fract_z
_atom_site_occupancy
Ac1 Ac 0.047 0.047 0.229 1
Ac2 Ac 0.138 0.138 0.689 1
Ac3 Ac 0.318 0.318 0.586 1
Ac4 Ac 0.406 0.406 0.046 1
Ac5 Ac 0.594 0.594 0.954 1
Ac6 Ac 0.682 0.682 0.414 1
Ac7 Ac 0.862 0.862 0.311 1
Ac8 Ac 0.953 0.953 0.771 1
Pr1 Pr 0.500 0.500 0.500 1
Nd1 Nd 0.227 0.227 0.134 1
Nd2 Nd 0.773 0.773 0.866 1
# Relative energy among the computed polymorphs, meV/atom: 0
# E, eV/atom: -4.26
# D(E_F), states/eV per cell: 20.907



No. 2
# AcPr8Nd2 | Alexandria via LeMat-Bulk | PBE | relaxed
data_AcPr8Nd2
_chemical_formula_sum 'Ac1 Pr8 Nd2'
_cell_length_a 9.755
_cell_length_b 9.755
_cell_length_c 9.755
_cell_angle_alpha 145.87
_cell_angle_beta 127.26
_cell_angle_gamma 64.33
_space_group_name_H-M_alt 'P 1'
_space_group_IT_number 1
loop_
_space_group_symop_operation_xyz
'x,y,z'
loop_
_atom_site_label
_atom_site_type_symbol
_atom_site_fract_x
_atom_site_fract_y
_atom_site_fract_z
_atom_site_occupancy
Ac1 Ac 0.000 0.000 0.000 1
Pr1 Pr 0.153 0.856 0.297 1
Pr2 Pr 0.158 0.658 0.500 1
Pr3 Pr 0.296 0.500 0.796 1
Pr4 Pr 0.441 0.144 0.297 1
Pr5 Pr 0.559 0.856 0.703 1
Pr6 Pr 0.704 0.500 0.204 1
Pr7 Pr 0.842 0.342 0.500 1
Pr8 Pr 0.847 0.144 0.703 1
Nd1 Nd 0.299 0.299 0.000 1
Nd2 Nd 0.701 0.701 0.000 1
# Relative energy among the computed polymorphs, meV/atom: 0
# E, eV/atom: -4.61
# D(E_F), states/eV per cell: 15.786



No. 3
# AcPr12Nd6 | Alexandria via LeMat-Bulk | PBE | relaxed
data_AcPr12Nd6
_chemical_formula_sum 'Ac1 Pr12 Nd6'
_cell_length_a 9.067
_cell_length_b 9.067
_cell_length_c 9.067
_cell_angle_alpha 99.73
_cell_angle_beta 99.73
_cell_angle_gamma 99.73
_space_group_name_H-M_alt 'P 1'
_space_group_IT_number 1
loop_
_space_group_symop_operation_xyz
'x,y,z'
loop_
_atom_site_label
_atom_site_type_symbol
_atom_site_fract_x
_atom_site_fract_y
_atom_site_fract_z
_atom_site_occupancy
Ac1 Ac 0.000 0.000 0.000 1
Pr1 Pr 0.083 0.354 0.354 1
Pr2 Pr 0.240 0.500 0.760 1
Pr3 Pr 0.240 0.760 0.500 1
Pr4 Pr 0.354 0.083 0.354 1
Pr5 Pr 0.354 0.354 0.083 1
Pr6 Pr 0.500 0.240 0.760 1
Pr7 Pr 0.500 0.760 0.240 1
Pr8 Pr 0.646 0.646 0.917 1
Pr9 Pr 0.646 0.917 0.646 1
Pr10 Pr 0.760 0.240 0.500 1
Pr11 Pr 0.760 0.500 0.240 1
Pr12 Pr 0.917 0.646 0.646 1
Nd1 Nd 0.098 0.098 0.656 1
Nd2 Nd 0.098 0.656 0.098 1
Nd3 Nd 0.344 0.902 0.902 1
Nd4 Nd 0.656 0.098 0.098 1
Nd5 Nd 0.902 0.344 0.902 1
Nd6 Nd 0.902 0.902 0.344 1
# Relative energy among the computed polymorphs, meV/atom: 51
# E, eV/atom: -4.57
# D(E_F), states/eV per cell: 35.407



No. 4
# Ac2Pr3Nd3 | Alexandria via LeMat-Bulk | PBE | relaxed
data_Ac2Pr3Nd3
_chemical_formula_sum 'Ac2 Pr3 Nd3'
_cell_length_a 11.220
_cell_length_b 11.220
_cell_length_c 5.356
_cell_angle_alpha 103.76
_cell_angle_beta 103.76
_cell_angle_gamma 27.61
_space_group_name_H-M_alt 'P 1'
_space_group_IT_number 1
loop_
_space_group_symop_operation_xyz
'x,y,z'
loop_
_atom_site_label
_atom_site_type_symbol
_atom_site_fract_x
_atom_site_fract_y
_atom_site_fract_z
_atom_site_occupancy
Ac1 Ac 0.250 0.250 0.250 1
Ac2 Ac 0.750 0.750 0.750 1
Pr1 Pr 0.000 0.000 0.000 1
Pr2 Pr 0.120 0.120 0.620 1
Pr3 Pr 0.880 0.880 0.380 1
Nd1 Nd 0.380 0.380 0.880 1
Nd2 Nd 0.500 0.500 0.500 1
Nd3 Nd 0.620 0.620 0.120 1
# Relative energy among the computed polymorphs, meV/atom: 0
# E, eV/atom: -4.59
# D(E_F), states/eV per cell: 13.397